# KFeSe2, relaxed, DFT GGA-PBE
# - N(E_F): 7.87 states/eV per cell
# - VASP energy: -4.03 eV/atom
data_KFeSe2
_space_group_name_H-M_alt 'P 1'
_space_group_IT_number 1
_space_group_name_Hall 'P 1'
_cell_length_a 4.9842
_cell_length_b 4.9842
_cell_length_c 4.9842
_cell_angle_alpha 60.00
_cell_angle_beta 60.00
_cell_angle_gamma 60.00
loop_
_atom_site_label
_atom_site_type_symbol
_atom_site_fract_x
_atom_site_fract_y
_atom_site_fract_z
Fe1 Fe 0.5000 0.5000 0.5000
Se1 Se 0.7500 0.7500 0.7500
Se2 Se 0.2500 0.2500 0.2500
K1 K 0.0000 0.0000 0.0000

---

# SiW4, relaxed, DFT GGA-PBE
# - Energy above the most stable polymorph in this dataset: 1095 meV/atom
# - N(E_F): 3.41 states/eV per cell
data_SiW4
_space_group_name_H-M_alt 'P 1'
_space_group_IT_number 1
_space_group_name_Hall 'P 1'
_cell_length_a 6.5036
_cell_length_b 6.5036
_cell_length_c 6.5036
_cell_angle_alpha 143.62
_cell_angle_beta 143.62
_cell_angle_gamma 52.40
loop_
_atom_site_label
_atom_site_type_symbol
_atom_site_fract_x
_atom_site_fract_y
_atom_site_fract_z
W1 W 0.7500 0.2500 0.5000
W2 W 0.2500 0.7500 0.5000
W3 W 0.3869 0.3869 0.0000
W4 W 0.6131 0.6131 0.0000
Si1 Si 0.0000 0.0000 0.0000

---

# CsHgPdPb2, relaxed, DFT GGA-PBE
# - N(E_F): 3.94 states/eV per cell
# - ΔH_f (0 K): -0.03 eV per atom
data_CsHgPdPb2
_space_group_name_H-M_alt 'P 1'
_space_group_IT_number 1
_space_group_name_Hall 'P 1'
_cell_length_a 5.5201
_cell_length_b 5.5201
_cell_length_c 5.5447
_cell_angle_alpha 90.00
_cell_angle_beta 90.00
_cell_angle_gamma 90.00
loop_
_atom_site_label
_atom_site_type_symbol
_atom_site_fract_x
_atom_site_fract_y
_atom_site_fract_z
Cs1 Cs 0.5000 0.5000 0.5000
Pb1 Pb 0.5000 0.0000 0.0000
Pb2 Pb 0.0000 0.5000 0.0000
Pd1 Pd 0.0000 0.0000 0.0000
Hg1 Hg 0.0000 0.0000 0.5000